# TbScZn2Sn2

A relaxed TbScZn2Sn2 crystal (GGA-PBE, OQMD via LeMat-Bulk).

Summary:
- relative energy among the computed polymorphs (eV/f.u.) = 0.09
- space group = P6_3/mmc, No. 194
- size of the total moment (μB per cell) = 0.00

```
TbScZn2Sn2
1.0
4.4979 0.0000 0.0000
-2.2490 3.8953 0.0000
0.0000 0.0000 15.0340
Tb Sc Zn Sn
2 2 4 4
Direct
0.0000 0.0000 0.2500
0.0000 0.0000 0.7500
0.0000 0.0000 0.0000
0.0000 0.0000 0.5000
0.3333 0.6667 0.1550
0.3333 0.6667 0.3450
0.6667 0.3333 0.6550
0.6667 0.3333 0.8450
0.3333 0.6667 0.6056
0.3333 0.6667 0.8944
0.6667 0.3333 0.1056
0.6667 0.3333 0.3945
```